No. 1
LaZr2Co | the Alexandria database | PBE | optimized geometry; ΔE_f = -11 meV per atom; size of the total moment = 0.00 μB/cell; E_tot = -7.29 eV/atom; space-group type = P2/m
1.0
-3.1698 0.7161 -0.4141
-0.2045 -2.2785 -2.3745
-2.1943 -7.8527 3.2176
Zr La Co
2 1 1
Cartesian
-0.3391 -2.6672 -2.0165 Zr
-1.0648 -4.6769 0.0635 Zr
-3.3840 -7.2403 0.4252 La
-2.1846 -2.1748 0.0037 Co



No. 2
LiCo3 | the Alexandria database | PBE | optimized geometry; ΔE_f = 211 meV per atom; size of the total moment = 10.29 μB/cell; E_tot = -5.60 eV/atom; space-group type = Pm-3n
1.0
-1.1824 -4.0293 1.5210
2.2683 0.7582 3.7718
-3.6611 1.7711 1.8457
Li Co
2 6
Cartesian
0.0000 0.0000 0.0000 Li
-1.2876 -0.7500 3.5692 Li
0.2473 -2.6428 3.0267 Co
-0.1293 1.4542 3.7517 Co
0.8385 -0.6282 2.2662 Co
-1.5065 -1.5719 1.2219 Co
-3.3370 -0.6863 2.1448 Co
-1.2635 1.0751 1.8658 Co



No. 3
LiCo2 | the Alexandria database | PBE | optimized geometry; ΔE_f = 162 meV per atom; size of the total moment = 12.29 μB/cell; E_tot = -5.21 eV/atom; space-group type = I4_1/amd
1.0
8.4131 0.0015 0.0000
6.3839 5.4795 0.0000
-7.3985 -2.7405 2.9209
Li Co
4 8
Cartesian
4.4556 3.2079 1.4605 Li
1.2637 0.4681 0.0000 Li
13.5333 5.0129 0.0000 Li
1.9283 2.2717 1.4605 Li
3.0059 -0.4440 1.4605 Co
7.7856 1.3264 1.4605 Co
8.5991 3.1852 0.0000 Co
5.4071 0.4454 1.4605 Co
3.8195 1.4148 0.0000 Co
10.9775 4.0662 0.0000 Co
6.1979 2.2958 0.0000 Co
0.6275 -1.3250 1.4605 Co